1.
The following is a GGA-PBE calculation of a geometry-optimized TaMn4Ge2 structure, from the Alexandria database.

Summary:
Total moment (μB per formula unit): 0.3
E_form (eV/atom): 0.280
Calculated density (g cm⁻³): 9.25

Lattice parameters (Å, degrees): 3.436 3.436 8.649 101.46 101.46 90.00
Fractional positions:
Ta1 0.000 0.000 0.000
Mn1 0.152 0.152 0.304
Mn2 0.848 0.848 0.696
Mn3 0.250 0.750 0.500
Mn4 0.750 0.250 0.500
Ge1 0.599 0.599 0.197
Ge2 0.401 0.401 0.803

---

2.
The following is a GGA-PBE calculation of a geometry-optimized Pr2Dy6Sc structure, from the Alexandria database.

Summary:
Total moment (μB per formula unit): 0.0
E_form (eV/atom): 0.100
Calculated density (g cm⁻³): 7.58

Lattice parameters (Å, degrees): 6.065 10.032 10.032 70.35 84.26 84.26
Fractional positions:
Pr1 0.439 0.567 0.776
Pr2 0.061 0.224 0.433
Pr3 0.561 0.433 0.224
Pr4 0.939 0.776 0.567
Dy1 0.489 0.691 0.407
Dy2 0.011 0.593 0.309
Dy3 0.511 0.309 0.593
Dy4 0.989 0.407 0.691
Dy5 0.634 0.068 0.340
Dy6 0.866 0.660 0.932
Dy7 0.366 0.932 0.660
Dy8 0.134 0.340 0.068
Dy9 0.328 0.760 0.026
Dy10 0.172 0.974 0.240
Dy11 0.672 0.240 0.974
Dy12 0.828 0.026 0.760
Sc1 0.250 0.103 0.897
Sc2 0.750 0.897 0.103

---

3.
The following is a GGA-PBE calculation of a geometry-optimized La2TaRh structure, from the Alexandria database.

Summary:
Total moment (μB per formula unit): 0.0
E_form (eV/atom): -0.056
Calculated density (g cm⁻³): 9.15

Lattice parameters (Å, degrees): 6.294 6.294 5.272 67.91 67.91 32.03
Fractional positions:
La1 0.986 0.986 0.009
La2 0.779 0.779 0.743
Ta1 0.199 0.199 0.315
Rh1 0.537 0.537 0.432

---

4.
The following is a GGA-PBE calculation of a geometry-optimized KNi4Ir structure, from the Alexandria database.

Summary:
Total moment (μB per formula unit): 3.7
E_form (eV/atom): 0.665
Calculated density (g cm⁻³): 9.10

Lattice parameters (Å, degrees): 4.936 4.936 4.936 60.00 60.00 60.00
Fractional positions:
K1 0.000 0.000 0.000
Ni1 0.872 0.376 0.376
Ni2 0.376 0.376 0.872
Ni3 0.376 0.872 0.376
Ni4 0.376 0.376 0.376
Ir1 0.750 0.750 0.750

---

5.
The following is a GGA-PBE calculation of a geometry-optimized NaTlS2 structure, from the Alexandria database.

Summary:
Total moment (μB per formula unit): 0.0
Calculated density (g cm⁻³): 4.71
VASP energy (eV per cell): -55.8

Lattice parameters (Å, degrees): 6.736 8.494 7.182 90.00 90.00 90.00
Fractional positions:
Na1 0.250 0.359 0.937
Na2 0.750 0.641 0.437
Na3 0.250 0.859 0.437
Na4 0.750 0.141 0.937
Tl1 0.250 0.804 0.937
Tl2 0.750 0.196 0.437
Tl3 0.250 0.304 0.437
Tl4 0.750 0.696 0.937
S1 0.533 0.894 0.143
S2 0.467 0.106 0.643
S3 0.967 0.394 0.643
S4 0.033 0.606 0.143
S5 0.967 0.894 0.732
S6 0.033 0.106 0.232
S7 0.533 0.394 0.232
S8 0.467 0.606 0.732

---

6.
The following is a GGA-PBE calculation of a geometry-optimized KBaInRh2 structure, from the Alexandria database.

Summary:
Total moment (μB per formula unit): 0.0
E_form (eV/atom): 0.600
Calculated density (g cm⁻³): 5.44

Lattice parameters (Å, degrees): 5.125 5.125 5.778 90.00 90.00 90.00
Fractional positions:
K1 0.500 0.500 0.500
Rh1 0.000 0.500 0.000
Rh2 0.500 0.000 0.000
Ba1 0.000 0.000 0.500
In1 0.000 0.000 0.000

---

7.
The following is a GGA-PBE calculation of a geometry-optimized AcTbPm2Y5 structure, from the Alexandria database.

Summary:
Total moment (μB per formula unit): 0.0
E_form (eV/atom): 0.262
Calculated density (g cm⁻³): 6.05

Lattice parameters (Å, degrees): 8.817 8.817 10.078 115.94 115.94 90.00
Fractional positions:
Ac1 0.250 0.750 0.500
Ac2 0.750 0.250 0.500
Tb1 0.250 0.250 0.500
Tb2 0.750 0.750 0.500
Pm1 0.115 0.385 0.000
Pm2 0.615 0.115 0.000
Pm3 0.385 0.885 0.000
Pm4 0.885 0.615 0.000
Y1 0.922 0.422 0.266
Y2 0.655 0.155 0.734
Y3 0.078 0.578 0.734
Y4 0.155 0.078 0.734
Y5 0.578 0.655 0.734
Y6 0.845 0.922 0.266
Y7 0.422 0.345 0.266
Y8 0.345 0.845 0.266
Y9 0.500 0.500 0.000
Y10 0.000 0.000 0.000

---

8.
The following is a GGA-PBE calculation of a geometry-optimized MnAlAg2 structure, from the Alexandria database.

Summary:
Total moment (μB per formula unit): 3.8
E_form (eV/atom): 0.094
Calculated density (g cm⁻³): 7.51

Lattice parameters (Å, degrees): 5.353 5.353 5.353 146.32 128.55 62.91
Fractional positions:
Mn1 0.262 0.762 0.500
Al1 0.499 0.499 0.000
Ag1 0.003 0.003 0.000
Ag2 0.736 0.236 0.500

---

9.
The following is a GGA-PBE calculation of a geometry-optimized ScNbBCl2 structure, from the Alexandria database.

Summary:
Total moment (μB per formula unit): 2.5
Calculated density (g cm⁻³): 3.85
VASP energy (eV per cell): -21.8

Lattice parameters (Å, degrees): 4.461 4.763 4.461 90.00 90.00 90.00
Fractional positions:
Sc1 0.000 0.500 0.000
Nb1 0.500 0.500 0.500
B1 0.000 0.000 0.000
Cl1 0.000 0.000 0.500
Cl2 0.500 0.000 0.000

---

10.
The following is a GGA-PBE calculation of a geometry-optimized Li2PrDy2Bi2 structure, from the Alexandria database.

Summary:
Total moment (μB per formula unit): 1.1
E_form (eV/atom): -0.415
Calculated density (g cm⁻³): 7.92

Lattice parameters (Å, degrees): 4.900 4.900 9.488 75.04 75.04 60.00
Fractional positions:
Li1 0.585 0.585 0.245
Li2 0.415 0.415 0.755
Pr1 0.000 0.000 0.000
Dy1 0.132 0.132 0.603
Dy2 0.868 0.868 0.397
Bi1 0.738 0.738 0.785
Bi2 0.262 0.262 0.215

---

11.
The following is a GGA-PBE calculation of a geometry-optimized AsN2F5 structure, from the Alexandria database.

Summary:
Total moment (μB per formula unit): 0.0
Calculated density (g cm⁻³): 2.07
VASP energy (eV per cell): -42.8

Lattice parameters (Å, degrees): 4.886 6.030 6.269 75.48 67.16 70.71
Fractional positions:
As1 0.876 0.003 0.996
N1 0.536 0.459 0.588
N2 0.453 0.531 0.436
F1 0.714 0.996 0.298
F2 0.120 0.726 0.037
F3 0.932 0.276 0.973
F4 0.056 0.009 0.695
F5 0.535 0.001 0.977

---

12.
The following is a GGA-PBE calculation of a geometry-optimized Nd8NiPd2 structure, from the Alexandria database.

Summary:
Total moment (μB per formula unit): 0.0
E_form (eV/atom): -0.217
Calculated density (g cm⁻³): 7.05

Lattice parameters (Å, degrees): 6.462 7.690 7.690 107.83 103.15 103.15
Fractional positions:
Nd1 0.613 0.361 0.091
Nd2 0.613 0.091 0.361
Nd3 0.184 0.368 0.368
Nd4 0.961 0.159 0.840
Nd5 0.961 0.840 0.159
Nd6 0.784 0.635 0.635
Nd7 0.326 0.917 0.639
Nd8 0.326 0.639 0.917
Ni1 0.253 0.008 0.008
Pd1 0.489 0.695 0.321
Pd2 0.489 0.321 0.695

---

13.
The following is a GGA-PBE calculation of a geometry-optimized La2HfScTl structure, from the Alexandria database.

Summary:
Total moment (μB per formula unit): 1.3
E_form (eV/atom): 0.671
Calculated density (g cm⁻³): 6.56

Lattice parameters (Å, degrees): 5.644 5.605 5.644 90.00 90.00 90.00
Fractional positions:
Sc1 0.500 0.500 0.500
Tl1 0.000 0.500 0.000
Hf1 0.000 0.000 0.000
La1 0.000 0.000 0.500
La2 0.500 0.000 0.000

---

14.
The following is a GGA-PBE calculation of a geometry-optimized NpMnTc structure, from the Alexandria database.

Summary:
Total moment (μB per formula unit): 0.0
E_form (eV/atom): 0.426
Calculated density (g cm⁻³): 13.71

Lattice parameters (Å, degrees): 3.194 3.194 10.850 81.54 81.54 60.00
Fractional positions:
Tc1 0.298 0.298 0.106
Tc2 0.702 0.702 0.894
Mn1 0.137 0.137 0.588
Mn2 0.863 0.863 0.412
Np1 0.425 0.425 0.726
Np2 0.575 0.575 0.274

---

15.
The following is a GGA-PBE calculation of a geometry-optimized Na3Cl2 structure, from the Alexandria database.

Summary:
Total moment (μB per formula unit): 0.1
Calculated density (g cm⁻³): 1.83
VASP energy (eV per cell): -14.0

Lattice parameters (Å, degrees): 10.377 10.377 3.518 90.00 90.00 160.44
Fractional positions:
Na1 0.500 0.500 0.000
Na2 0.332 0.668 0.000
Na3 0.668 0.332 0.000
Cl1 0.914 0.086 0.500
Cl2 0.086 0.914 0.500

---

16.
The following is a GGA-PBE calculation of a geometry-optimized Pm4Bi2PS structure, from the Alexandria database.

Summary:
Total moment (μB per formula unit): 0.0
Calculated density (g cm⁻³): 7.67
VASP energy (eV per cell): -47.0

Lattice parameters (Å, degrees): 4.301 7.441 7.589 109.05 90.00 90.00
Fractional positions:
Pm1 0.500 0.237 0.221
Pm2 0.500 0.763 0.779
Pm3 0.000 0.256 0.778
Pm4 0.000 0.744 0.222
Bi1 0.500 0.000 0.500
Bi2 0.000 0.500 0.500
P1 0.000 0.000 0.000
S1 0.500 0.500 0.000

---

17.
The following is a GGA-PBE calculation of a geometry-optimized RbCr2Re structure, from the Alexandria database.

Summary:
Total moment (μB per formula unit): 6.2
E_form (eV/atom): 1.560
Calculated density (g cm⁻³): 4.86

Lattice parameters (Å, degrees): 5.856 5.856 8.549 69.97 69.97 90.00
Fractional positions:
Re1 0.000 0.000 0.000
Re2 0.750 0.250 0.500
Rb1 0.500 0.500 0.000
Rb2 0.250 0.750 0.500
Cr1 0.875 0.125 0.250
Cr2 0.875 0.625 0.250
Cr3 0.375 0.125 0.750
Cr4 0.875 0.125 0.750

---

18.
The following is a GGA-PBE calculation of a geometry-optimized Pr3Rh8Pb structure, from the Alexandria database.

Summary:
Total moment (μB per formula unit): 0.0
E_form (eV/atom): -0.498
Calculated density (g cm⁻³): 10.71

Lattice parameters (Å, degrees): 5.407 5.407 9.430 73.34 73.34 60.00
Fractional positions:
Pr1 0.376 0.376 0.872
Pr2 0.996 0.996 0.011
Pr3 0.503 0.503 0.490
Rh1 0.938 0.437 0.188
Rh2 0.439 0.937 0.687
Rh3 0.437 0.437 0.188
Rh4 0.937 0.937 0.687
Rh5 0.188 0.188 0.436
Rh6 0.687 0.687 0.938
Rh7 0.437 0.938 0.188
Rh8 0.937 0.439 0.687
Pb1 0.874 0.874 0.379

---

19.
The following is a GGA-PBE calculation of a geometry-optimized SmThSb2 structure, from the Alexandria database.

Summary:
Total moment (μB per formula unit): 0.0
Calculated density (g cm⁻³): 8.14
VASP energy (eV per cell): -48.8

Lattice parameters (Å, degrees): 4.407 4.407 15.174 90.00 90.00 120.00
Fractional positions:
Sm1 0.000 0.000 0.500
Sm2 0.000 0.000 0.000
Th1 0.667 0.333 0.250
Th2 0.333 0.667 0.750
Sb1 0.333 0.667 0.378
Sb2 0.667 0.333 0.878
Sb3 0.667 0.333 0.622
Sb4 0.333 0.667 0.122

---

20.
The following is a GGA-PBE calculation of a geometry-optimized SrCd2Hg3 structure, from the Alexandria database.

Summary:
Total moment (μB per formula unit): 0.0
E_form (eV/atom): -0.221
Calculated density (g cm⁻³): 9.27

Lattice parameters (Å, degrees): 6.505 7.162 7.162 101.06 90.00 90.00
Fractional positions:
Sr1 0.250 0.350 0.350
Sr2 0.750 0.650 0.650
Cd1 0.500 0.775 0.225
Cd2 0.000 0.775 0.225
Cd3 0.000 0.225 0.775
Cd4 0.500 0.225 0.775
Hg1 0.750 0.431 0.147
Hg2 0.750 0.147 0.431
Hg3 0.250 0.569 0.853
Hg4 0.750 0.006 0.006
Hg5 0.250 0.994 0.994
Hg6 0.250 0.853 0.569

---

21.
The following is a GGA-PBE calculation of a geometry-optimized Th2SiGeRh6 structure, from the Alexandria database.

Summary:
Total moment (μB per formula unit): 0.0
Calculated density (g cm⁻³): 10.34
VASP energy (eV per cell): -74.5

Lattice parameters (Å, degrees): 6.452 6.452 6.452 60.00 60.00 90.00
Fractional positions:
Th1 0.250 0.750 0.500
Th2 0.750 0.250 0.500
Si1 0.500 0.500 0.000
Ge1 0.000 0.000 0.000
Rh1 0.255 0.745 0.000
Rh2 0.745 0.745 0.000
Rh3 0.255 0.255 0.490
Rh4 0.745 0.255 0.000
Rh5 0.255 0.255 0.000
Rh6 0.745 0.745 0.510

---

22.
The following is a GGA-PBE calculation of a geometry-optimized ZrCu structure, from the Alexandria database.

Summary:
Total moment (μB per formula unit): 0.6
E_form (eV/atom): -0.105
Calculated density (g cm⁻³): 7.31

Lattice parameters (Å, degrees): 3.281 3.273 3.273 90.00 90.00 90.00
Fractional positions:
Cu1 0.000 0.000 0.500
Zr1 0.500 0.500 0.000

---

23.
The following is a GGA-PBE calculation of a geometry-optimized Cr2AgMo structure, from the Alexandria database.

Summary:
Total moment (μB per formula unit): 0.0
E_form (eV/atom): 0.559
Calculated density (g cm⁻³): 9.08

Lattice parameters (Å, degrees): 3.594 3.958 3.958 90.00 90.00 90.00
Fractional positions:
Ag1 0.500 0.000 0.500
Cr1 0.000 0.000 0.000
Cr2 0.000 0.500 0.500
Mo1 0.500 0.500 0.000

---

24.
The following is a GGA-PBE calculation of a geometry-optimized NbPd3S structure, from the Alexandria database.

Summary:
Total moment (μB per formula unit): 2.8
Calculated density (g cm⁻³): 8.15
VASP energy (eV per cell): -28.5

Lattice parameters (Å, degrees): 4.490 4.490 4.490 90.00 90.00 90.00
Fractional positions:
Nb1 0.500 0.500 0.500
S1 0.000 0.000 0.000
Pd1 0.000 0.500 0.000
Pd2 0.000 0.000 0.500
Pd3 0.500 0.000 0.000

---

25.
The following is a GGA-PBE calculation of a geometry-optimized LiZrI2O structure, from the Alexandria database.

Summary:
Total moment (μB per formula unit): 0.1
Calculated density (g cm⁻³): 5.94
VASP energy (eV per cell): -20.0

Lattice parameters (Å, degrees): 5.339 5.339 3.612 90.00 90.00 90.00
Fractional positions:
I1 0.000 0.500 0.000
I2 0.500 0.000 0.000
O1 0.000 0.000 0.500
Zr1 0.500 0.500 0.500
Li1 0.000 0.000 0.000